(1)
Here is a geometry-optimized TiMn2GaC structure from Alexandria. Energies are from PBE.

Results
crystal system = tetragonal
energy of formation = 0.583 eV per formula unit
calculated volume = 12.208 Å³/atom
size of the total moment = 2.9 μB per cell
E above lowest polymorph = 362 meV/atom
final energy = -7.580 eV per atom

Geometry as CIF:
```
data_TiMn2GaC
_symmetry_space_group_name_H-M 'P 4/m m m'
_symmetry_Int_Tables_number 123
_symmetry_space_group_name_Hall '-P 4 2'
_cell_length_a 3.8132
_cell_length_b 3.8132
_cell_length_c 4.1980
_cell_angle_alpha 90.00
_cell_angle_beta 90.00
_cell_angle_gamma 90.00
loop_
_atom_site_label
_atom_site_type_symbol
_atom_site_fract_x
_atom_site_fract_y
_atom_site_fract_z
Ti1 Ti 0.0000 0.0000 0.0000
Mn1 Mn 0.0000 0.5000 0.5000
Ga1 Ga 0.5000 0.5000 0.0000
C1 C 0.5000 0.5000 0.5000
```


(2)
Here is a geometry-optimized TiMn2GaC structure from Alexandria. Energies are from PBE.

Results
crystal system = tetragonal
energy of formation = -1.228 eV per formula unit
calculated volume = 12.297 Å³/atom
size of the total moment = 3.3 μB per cell
E above lowest polymorph = 0 meV/atom
final energy = -7.943 eV per atom

Geometry as CIF:
```
data_TiMn2GaC
_symmetry_space_group_name_H-M 'P 4/m m m'
_symmetry_Int_Tables_number 123
_symmetry_space_group_name_Hall '-P 4 2'
_cell_length_a 3.8315
_cell_length_b 3.8315
_cell_length_c 4.1884
_cell_angle_alpha 90.00
_cell_angle_beta 90.00
_cell_angle_gamma 90.00
loop_
_atom_site_label
_atom_site_type_symbol
_atom_site_fract_x
_atom_site_fract_y
_atom_site_fract_z
Ti1 Ti 0.0000 0.0000 0.0000
Mn1 Mn 0.0000 0.5000 0.5000
Ga1 Ga 0.5000 0.5000 0.0000
C1 C 0.0000 0.0000 0.5000
```


(3)
Here is a geometry-optimized Ti2MnGaC structure from Alexandria. Energies are from PBE.

Results
crystal system = tetragonal
energy of formation = -2.258 eV per formula unit
calculated volume = 13.306 Å³/atom
size of the total moment = 1.3 μB per cell
final energy = -7.894 eV per atom

Geometry as CIF:
```
data_Ti2MnGaC
_symmetry_space_group_name_H-M 'P 4/m m m'
_symmetry_Int_Tables_number 123
_symmetry_space_group_name_Hall '-P 4 2'
_cell_length_a 4.1943
_cell_length_b 4.1943
_cell_length_c 3.7818
_cell_angle_alpha 90.00
_cell_angle_beta 90.00
_cell_angle_gamma 90.00
loop_
_atom_site_label
_atom_site_type_symbol
_atom_site_fract_x
_atom_site_fract_y
_atom_site_fract_z
Ti1 Ti 0.0000 0.5000 0.0000
Mn1 Mn 0.0000 0.0000 0.5000
Ga1 Ga 0.5000 0.5000 0.5000
C1 C 0.0000 0.0000 0.0000
```